[1]
Material: TmTeH
Method: DFT, PBE
State: relaxed

Unit cell a=4.0271 b=6.1236 c=7.6802 alpha=47.67 beta=74.75 gamma=89.94
Fractional coordinates of all 6 atoms:
H  0.8331  0.5843  0.8344
H  0.1669  0.4157  0.1656
Tm  0.3128  0.4084  0.8753
Tm  0.6872  0.5916  0.1247
Te  0.6044  0.9260  0.2919
Te  0.3956  0.0740  0.7081

* final energy: -4.602 eV per atom
* total moment: 0.00 μB/f.u.
* ρ: 7.55 g/cm3


[2]
Material: Ni4PbCl
Method: DFT, PBE
State: relaxed

Unit cell a=5.0481 b=5.0481 c=5.0481 alpha=60.00 beta=60.00 gamma=60.00
Site moments in Bohr magnetons follow the coordinates.
Fractional coordinates of all 6 atoms:
Ni  0.8731  0.3756  0.3756  0.66
Ni  0.3756  0.3756  0.8731  0.66
Ni  0.3756  0.8731  0.3756  0.66
Ni  0.3756  0.3756  0.3756  0.66
Pb  0.7500  0.7500  0.7500  -0.02
Cl  0.0000  0.0000  0.0000  0.09

* final energy: -4.379 eV per atom
* formation energy (no corrections): 0.40 eV/atom
* total moment: 2.75 μB/f.u.
* ρ: 8.72 g/cm3


[3]
Material: ErMnCuPt
Method: DFT, PBE
State: relaxed

Unit cell a=4.6343 b=4.6343 c=4.6343 alpha=60.00 beta=60.00 gamma=60.00
Site moments in Bohr magnetons follow the coordinates.
Fractional coordinates of all 4 atoms:
Mn  0.0000  0.0000  0.0000  3.90
Cu  0.7500  0.7500  0.7500  0.03
Pt  0.2500  0.2500  0.2500  0.16
Er  0.5000  0.5000  0.5000  -0.07

* final energy: -6.399 eV per atom
* total moment: 4.17 μB/f.u.
* ρ: 11.34 g/cm3
* energy of formation from the pure elements: -1.7 eV/f.u.